Record 1
## CoAgO2 (PBE with a Hubbard U)

Data for crystalline CoAgO2 at its relaxed geometry.

a = 2.903 Å, b = 2.903 Å, c = 24.784 Å
α = 90.00°, β = 90.00°, γ = 120.00°
Positions (direct):
Co1 0.333 0.667 0.125
Co2 0.333 0.667 0.375
Co3 0.667 0.333 0.625
Co4 0.667 0.333 0.875
Ag1 0.000 0.000 0.000
Ag2 0.000 0.000 0.500
Ag3 0.333 0.667 0.750
Ag4 0.667 0.333 0.250
O1 0.000 0.000 0.086
O2 0.000 0.000 0.414
O3 0.000 0.000 0.586
O4 0.000 0.000 0.914
O5 0.333 0.667 0.664
O6 0.333 0.667 0.836
O7 0.667 0.333 0.164
O8 0.667 0.333 0.336

DFT total energy = -0.190 Ha/atom
Calculated volume = 11.3 Å³/atom

=====

Record 2
## CoAgO3 (PBE with a Hubbard U)

Data for crystalline CoAgO3 at its relaxed geometry.

a = 4.947 Å, b = 5.078 Å, c = 5.582 Å
α = 68.70°, β = 88.35°, γ = 61.74°
Positions (direct):
Co1 0.161 0.184 0.482
Co2 0.839 0.816 0.518
Ag1 0.346 0.778 0.059
Ag2 0.654 0.222 0.941
O1 0.081 0.605 0.305
O2 0.173 0.782 0.696
O3 0.463 0.995 0.283
O4 0.537 0.005 0.717
O5 0.827 0.218 0.304
O6 0.919 0.395 0.695

DFT total energy = -0.182 Ha/atom
Calculated volume = 11.3 Å³/atom

=====

Record 3
## CoAgO2 (PBE with a Hubbard U)

Data for crystalline CoAgO2 at its relaxed geometry.

a = 5.725 Å, b = 5.725 Å, c = 5.725 Å
α = 128.34°, β = 128.34°, γ = 76.08°
Positions (direct):
Co1 0.000 0.000 0.000
Co2 0.750 0.250 0.500
Ag1 0.250 0.750 0.500
Ag2 0.500 0.500 0.000
O1 0.046 0.625 0.921
O2 0.375 0.296 0.421
O3 0.704 0.125 0.079
O4 0.875 0.954 0.579

DFT total energy = -0.183 Ha/atom
Calculated volume = 14.0 Å³/atom

=====

Record 4
## CoAgO3 (PBE with a Hubbard U)

Data for crystalline CoAgO3 at its relaxed geometry.

a = 3.737 Å, b = 3.737 Å, c = 3.737 Å
α = 90.00°, β = 90.00°, γ = 90.00°
Positions (direct):
Co1 0.000 0.000 0.000
Ag1 0.500 0.500 0.500
O1 0.000 0.000 0.500
O2 0.000 0.500 0.000
O3 0.500 0.000 0.000

DFT total energy = -0.172 Ha/atom
Calculated volume = 10.4 Å³/atom